[1]
The following is a GGA-PBE calculation of a geometry-optimized Tl2AgGeBr5 structure, from Alexandria via LeMat-Bulk.

Cell lengths 4.3018, 19.4865, 14.3047 Å; angles 90.00, 90.00, 90.00 degrees
Last column: nearest neighbours and their distance in Å.
Space group Cmc2_1 (No. 36)
One atom of each set of equivalent atoms:
Tl: 0.0000 0.0928 0.0000 [4 per cell]  6 Br 3.28-3.51
Tl: 0.0000 0.1295 0.6203 [4 per cell]  8 Br 3.30-3.62
Ag: 0.0000 0.4377 0.7815 [4 per cell]  4 Br 2.65-2.87
Ge: 0.0000 0.2210 0.3480 [4 per cell]  5 Br 2.59-2.90
Br: 0.0000 0.0567 0.3938 [4 per cell]  2 Ag 2.69
Br: 0.0000 0.2723 0.9835 [4 per cell]  2 Ge 2.90
Br: 0.0000 0.2987 0.7162 [4 per cell]  1 Ag 2.87, 2 Ge 2.89
Br: 0.0000 0.3527 0.3221 [4 per cell]  1 Ge 2.59
Br: 0.0000 0.4990 0.1173 [4 per cell]  1 Ag 2.65

formation energy from raw total energies: -0.6456 eV per atom
volume: 1199.1 Å³ per cell
calculated total energy: -105.51 eV per cell
total moment: 0.00 μB per atom
calculated density: 5.48 Mg/m³



[2]
The following is a GGA-PBE calculation of a geometry-optimized ScTa2Hg structure, from Alexandria via LeMat-Bulk.

Cell lengths 5.7912, 9.1910, 2.9584 Å; angles 90.00, 90.00, 90.00 degrees
Last column: nearest neighbours and their distance in Å.
Space group Cmmm (No. 65)
One atom of each set of equivalent atoms:
Sc: 0.0000 0.0000 0.0000 [2 per cell]  2 Hg 2.90, 2 Sc 2.96, 8 Ta 3.09
Ta: 0.2500 0.2500 0.5000 [4 per cell]  4 Ta 2.90-2.96, 4 Hg 3.09, 4 Sc 3.09
Hg: 0.0000 0.5000 0.0000 [2 per cell]  2 Sc 2.90, 2 Hg 2.96, 8 Ta 3.09

volume: 157.5 Å³ per cell
calculated total energy: -58.46 eV per cell
total moment: 0.00 μB per atom
ΔE_f: 0.28 eV/atom
calculated density: 12.81 Mg/m³



[3]
The following is a GGA-PBE calculation of a geometry-optimized DyNpAgO6 structure, from Alexandria via LeMat-Bulk.

Cell lengths 5.1898, 5.1898, 9.9731 Å; angles 90.00, 90.00, 90.00 degrees
Last column: nearest neighbours and their distance in Å.
Space group P4_2nm (No. 102)
One atom of each set of equivalent atoms:
Dy: 0.0000 0.0000 0.0000 [2 per cell]  6 O 2.23-2.31
Np: 0.0000 0.0000 0.6576 [2 per cell]  6 O 1.97-2.09
Ag: 0.0000 0.0000 0.3244 [2 per cell]  6 O 2.28-2.39
O: 0.1747 0.1747 0.8078 [4 per cell]  1 Np 1.97
O: 0.1869 0.1869 0.5070 [4 per cell]  1 Np 2.03
O: 0.2147 0.2147 0.1575 [4 per cell]  1 Np 2.09, 1 Dy 2.23, 1 Ag 2.29

formation energy from raw total energies: -2.2241 eV per atom
volume: 268.6 Å³ per cell
calculated total energy: -140.32 eV per cell
total moment: 0.12 μB per atom
calculated density: 7.46 Mg/m³



| no. | density of states at the Fermi level (states/eV/f.u.) |
| --- | --- |
| 1 | 0.000 |
| 2 | 5.622 |
| 3 | 1.983 |